Compound: K2BaLi2
Source: Alexandria
Functional: PBE
Structure: optimized geometry

Cell: 10.132 10.132 4.856 Å, 90.00 90.00 90.00°
Positions (direct):
K 0.168 0.332 0.000
K 0.332 0.832 0.000
K 0.668 0.168 0.000
K 0.832 0.668 0.000
Ba 0.000 0.000 0.500
Ba 0.500 0.500 0.500
Li 0.118 0.618 0.500
Li 0.382 0.118 0.500
Li 0.618 0.882 0.500
Li 0.882 0.382 0.500

Calculated values
- E_form: 0.17 eV/atom
- E: -14.17 eV/cell
- Crystal system: tetragonal
- Polymorph energy (0 for the lowest one): 0 meV/atom


Compound: KBa2Li
Source: Alexandria
Functional: PBE
Structure: optimized geometry

Cell: 6.741 6.741 6.741 Å, 60.00 60.00 60.00°
Positions (direct):
K 0.000 0.000 0.000
Ba 0.500 0.500 0.500
Ba 0.750 0.750 0.750
Li 0.250 0.250 0.250

Calculated values
- E_form: 0.22 eV/atom
- E: -5.99 eV/cell
- Crystal system: cubic


Compound: K2BaLi
Source: Alexandria
Functional: PBE
Structure: optimized geometry

Cell: 4.425 4.429 11.604 Å, 90.00 90.20 90.00°
Positions (direct):
K 0.000 0.000 0.000
K 0.495 0.500 0.310
Ba 0.496 0.500 0.698
Li 0.994 0.000 0.509

Calculated values
- E_form: 0.08 eV/atom
- E: -5.71 eV/cell
- Crystal system: monoclinic
- Polymorph energy (0 for the lowest one): 0 meV/atom